Compound: La2Cu2SbRh5
Source: Alexandria via LeMat-Bulk
Functional: PBE
Structure: relaxed

* formation energy (no corrections): -523 meV/atom
* Fermi-level density of states: 13.5 states/eV per cell

Cell: 9.597 9.597 3.856 Å, 90.00 90.00 90.00°
Element x y z (fractional)
La (0.174, 0.326, 0.000)
La (0.326, 0.826, 0.000)
La (0.674, 0.174, 0.000)
La (0.826, 0.674, 0.000)
Cu (0.123, 0.623, 0.000)
Cu (0.377, 0.123, 0.000)
Cu (0.623, 0.877, 0.000)
Cu (0.877, 0.377, 0.000)
Sb (0.000, 0.000, 0.000)
Sb (0.500, 0.500, 0.000)
Rh (0.000, 0.500, 0.500)
Rh (0.069, 0.791, 0.500)
Rh (0.209, 0.069, 0.500)
Rh (0.291, 0.569, 0.500)
Rh (0.431, 0.291, 0.500)
Rh (0.500, 0.000, 0.500)
Rh (0.569, 0.709, 0.500)
Rh (0.709, 0.431, 0.500)
Rh (0.791, 0.931, 0.500)
Rh (0.931, 0.209, 0.500)

=====

Compound: Nd2TmIn
Source: Alexandria via LeMat-Bulk
Functional: PBE
Structure: relaxed

* ΔH_f (0 K): -112 meV per atom
* relative energy among the computed polymorphs: 60 kJ/mol of formula units
* Fermi-level density of states: 5.6 states/eV per cell

Cell: 11.234 11.234 11.234 Å, 18.77 18.77 18.77°
Element x y z (fractional)
Nd (0.000, 0.000, 0.000)
Nd (0.174, 0.174, 0.174)
Tm (0.754, 0.754, 0.754)
In (0.587, 0.587, 0.587)

=====

Compound: Tc5C
Source: Alexandria via LeMat-Bulk
Functional: PBE
Structure: relaxed

* ΔH_f (0 K): 650 meV per atom
* relative energy among the computed polymorphs: 311 kJ/mol of formula units
* Fermi-level density of states: 3.7 states/eV per cell

Cell: 4.678 4.678 4.236 Å, 90.00 90.00 120.00°
Element x y z (fractional)
Tc (0.000, 0.685, 0.000)
Tc (0.315, 0.315, 0.000)
Tc (0.333, 0.667, 0.500)
Tc (0.667, 0.333, 0.500)
Tc (0.685, 0.000, 0.000)
C (0.000, 0.000, 0.500)

=====

Number 1: calculated volume 178 Å³/f.u.. Number 2: calculated volume 128 Å³/f.u.. Number 3: calculated volume 80 Å³/f.u..